# Rb2AgHBr6

A relaxed structure of Rb2AgHBr6 (GGA-PBE, the Alexandria database).

Cell: 7.749 7.749 7.749 Å, 124.97 124.97 81.59°
Sites, in units of the cell vectors:
Rb: 0.250 0.750 0.500
Rb: 0.750 0.250 0.500
Ag: 0.000 0.000 0.000
H: 0.500 0.500 0.000
Br: 0.218 0.218 0.000
Br: 0.273 0.273 0.547
Br: 0.273 0.727 0.000
Br: 0.727 0.273 0.000
Br: 0.727 0.727 0.453
Br: 0.782 0.782 0.000

## Properties
density of states at the Fermi level	6.01	states/eV/f.u.
crystal system	tetragonal
uncorrected energy	-2.41	eV/atom
mass density	4.19	g/cm³